(1)
Here is a geometry-optimized Rb2MnBr2Cl4 structure from the Alexandria database. Energies are from PBE-GGA.

It has space group I4/mmm (No. 139), with a = 7.3510 Å, b = 7.3510 Å, c = 10.1779 Å, α = 90.00°, β = 90.00° and γ = 90.00°. Symmetry generates all atoms from Rb at (0.0000, 0.5000, 0.2500), Mn at (0.0000, 0.0000, 0.0000), Br at (0.0000, 0.0000, 0.2437) and Cl at (0.2202, 0.2202, 0.0000).

As for the uncorrected formation energy: -1.328 eV/atom. The calculation puts the total magnetic moment at 0.34 μB per atom.

(2)
Here is a geometry-optimized Cs2SeBr7 structure from the Alexandria database. Energies are from PBE-GGA.

It has space group I4/mmm (No. 139), with a = 8.5415 Å, b = 8.5415 Å, c = 10.7189 Å, α = 90.00°, β = 90.00° and γ = 90.00°. Symmetry generates all atoms from Cs at (0.0000, 0.5000, 0.2500), Se at (0.0000, 0.0000, 0.0000), Br at (0.0000, 0.0000, 0.2514), Br at (0.0000, 0.0000, 0.5000) and Br at (0.2160, 0.2160, 0.0000).

As for the uncorrected formation energy: -0.807 eV/atom. The calculation puts the total magnetic moment at 0.00 μB per atom.

(3)
Here is a geometry-optimized BaIn2FeIr structure from the Alexandria database. Energies are from PBE-GGA.

It has space group P4/mmm (No. 123), with a = 6.0438 Å, b = 6.0438 Å, c = 4.7020 Å, α = 90.00°, β = 90.00° and γ = 90.00°. Symmetry generates all atoms from Ba at (0.0000, 0.0000, 0.0000), In at (0.0000, 0.5000, 0.0000), Fe at (0.0000, 0.0000, 0.5000) and Ir at (0.5000, 0.5000, 0.5000).

The energy of formation is 2.3060 eV/atom. The calculation puts the total magnetic moment at 0.26 μB per atom.

(4)
Here is a geometry-optimized PrY2Tm7 structure from the Alexandria database. Energies are from PBE-GGA.

It has space group Cmmm (No. 65), with a = 8.6066 Å, b = 16.8890 Å, c = 5.3056 Å, α = 90.00°, β = 90.00° and γ = 90.00°. Symmetry generates all atoms from Pr at (0.0000, 0.0000, 0.0000), Y at (0.0000, 0.2978, 0.5000), Tm at (0.0000, 0.2002, 0.0000), Tm at (0.0000, 0.5000, 0.5000) and Tm at (0.1774, 0.1108, 0.5000).

Its energy above the most stable polymorph in this dataset is 673 meV/atom. The energy of formation is 0.7245 eV/atom. The calculation puts the total magnetic moment at 0.00 μB per atom.

(5)
Here is a geometry-optimized RbZn3P structure from the Alexandria database. Energies are from PBE-GGA.

It has space group Pm-3m (No. 221), with a = 5.0837 Å, b = 5.0837 Å, c = 5.0837 Å, α = 90.00°, β = 90.00° and γ = 90.00°. Symmetry generates all atoms from Rb at (0.0000, 0.0000, 0.0000), Zn at (0.0000, 0.5000, 0.5000) and P at (0.5000, 0.5000, 0.5000).

Its energy above the most stable polymorph in this dataset is 0 meV/atom. The energy of formation is 0.2852 eV/atom. The calculation puts the total magnetic moment at 0.00 μB per atom.

(6)
Here is a geometry-optimized TmScFeRu structure from the Alexandria database. Energies are from PBE-GGA.

It has space group F-43m (No. 216), with a = 6.5305 Å, b = 6.5305 Å, c = 6.5305 Å, α = 90.00°, β = 90.00° and γ = 90.00°. Symmetry generates all atoms from Tm at (0.0000, 0.0000, 0.0000), Sc at (0.0000, 0.0000, 0.5000), Fe at (0.2500, 0.2500, 0.2500) and Ru at (0.2500, 0.2500, 0.7500).

The energy of formation is -0.2018 eV/atom. The calculation puts the total magnetic moment at 0.32 μB per atom.

(7)
Here is a geometry-optimized CrInReP structure from the Alexandria database. Energies are from PBE-GGA.

It has space group I4mm (No. 107), with a = 2.9805 Å, b = 2.9805 Å, c = 14.7525 Å, α = 90.00°, β = 90.00° and γ = 90.00°. Symmetry generates all atoms from Cr at (0.0000, 0.0000, 0.0000), In at (0.0000, 0.0000, 0.3737), Re at (0.0000, 0.0000, 0.6062) and P at (0.0000, 0.0000, 0.1944).

Its energy above the most stable polymorph in this dataset is 6 meV/atom. The energy of formation is 0.0263 eV/atom. The calculation puts the total magnetic moment at 0.27 μB per atom.

(8)
Here is a geometry-optimized Nd2CuNi4 structure from the Alexandria database. Energies are from PBE-GGA.

It has space group Cmmm (No. 65), with a = 7.7155 Å, b = 10.4048 Å, c = 4.0154 Å, α = 90.00°, β = 90.00° and γ = 90.00°. Symmetry generates all atoms from Nd at (0.2500, 0.2500, 0.0000), Cu at (0.0000, 0.0000, 0.5000), Ni at (0.0000, 0.2220, 0.5000) and Ni at (0.1548, 0.0000, 0.0000).

The energy of formation is 0.5251 eV/atom. The calculation puts the total magnetic moment at 0.00 μB per atom.

no.,volume (A^3/atom)
1,30.6
2,39.1
3,34.4
4,38.6
5,26.3
6,17.4
7,16.4
8,23.0